A plane-wave DFT calculation with PBEsol was carried out for a relaxed RePt5 crystal.

a = 10.2893 Å, b = 2.7592 Å, c = 6.5492 Å
α = 90.00°, β = 105.73°, γ = 90.00°
Space group Cm (No. 8)
Asymmetric unit:
1 Re 0.0000 0.0000 0.0000
2 Pt 0.1055 0.5000 0.7282
3 Pt 0.1642 0.5000 0.3207
4 Pt 0.2827 0.0000 0.0524
5 Pt 0.3342 0.0000 0.6699
6 Pt 0.4473 0.5000 0.3841

Output
The formation energy is -17.1 meV/atom. The value obtained for the distance to the lowest polymorph of the same formula is 0.0638 eV/atom.

***

A plane-wave DFT calculation with PBEsol was carried out for a relaxed Be3C crystal.

a = 2.8949 Å, b = 2.8949 Å, c = 3.6439 Å
α = 90.00°, β = 90.00°, γ = 90.00°
Space group P4mm (No. 99)
Asymmetric unit:
1 Be 0.0000 0.0000 0.0000
2 Be 0.0000 0.5000 0.5385
3 C 0.5000 0.5000 0.8151

Output
The formation energy is 423.0 meV/atom.

***

A plane-wave DFT calculation with PBEsol was carried out for a relaxed Y2BiBMo crystal.

a = 5.0060 Å, b = 5.0060 Å, c = 4.2078 Å
α = 90.00°, β = 90.00°, γ = 90.00°
Space group P4/mmm (No. 123)
Asymmetric unit:
1 Y 0.0000 0.5000 0.0000
2 Bi 0.0000 0.0000 0.5000
3 B 0.5000 0.5000 0.0000
4 Mo 0.5000 0.5000 0.5000

Output
The formation energy is -249.8 meV/atom.

***

A plane-wave DFT calculation with PBEsol was carried out for a relaxed BaTcTe crystal.

a = 4.4729 Å, b = 4.4729 Å, c = 4.9907 Å
α = 90.00°, β = 90.00°, γ = 120.00°
Space group P-6m2 (No. 187)
Asymmetric unit:
1 Ba 0.0000 0.0000 0.0000
2 Tc 0.3333 0.6667 0.5000
3 Te 0.6667 0.3333 0.5000

Output
The calculation puts the formation energy from raw total energies at -0.033 eV per atom.

***

A plane-wave DFT calculation with PBEsol was carried out for a relaxed CaTiNb3 crystal.

a = 4.7906 Å, b = 4.7906 Å, c = 4.7906 Å
α = 90.00°, β = 90.00°, γ = 90.00°
Space group Pm-3m (No. 221)
Asymmetric unit:
1 Ca 0.0000 0.0000 0.0000
2 Ti 0.5000 0.5000 0.5000
3 Nb 0.0000 0.5000 0.5000

Output
The formation energy is 1047.3 meV/atom. The value obtained for the distance to the lowest polymorph of the same formula is 0.0000 eV/atom.

***

A plane-wave DFT calculation with PBEsol was carried out for a relaxed TiSnF3 crystal.

a = 4.1687 Å, b = 4.1687 Å, c = 4.1687 Å
α = 90.00°, β = 90.00°, γ = 90.00°
Space group Pm-3m (No. 221)
Asymmetric unit:
1 Ti 0.0000 0.0000 0.0000
2 Sn 0.5000 0.5000 0.5000
3 F 0.0000 0.0000 0.5000

Output
The calculation puts the formation energy from raw total energies at -2.019 eV per atom.

***

A plane-wave DFT calculation with PBEsol was carried out for a relaxed MgRu2 crystal.

a = 3.6997 Å, b = 3.6997 Å, c = 15.1780 Å
α = 90.00°, β = 90.00°, γ = 90.00°
Space group I4_1/amd (No. 141, origin choice 2)
Asymmetric unit:
1 Mg 0.0000 0.2500 0.3750
2 Ru 0.0000 0.2500 0.7975

Output
The formation energy is 638.6 meV/atom.

***

A plane-wave DFT calculation with PBEsol was carried out for a relaxed Sr2Li2Mg crystal.

a = 4.0615 Å, b = 4.0615 Å, c = 20.3106 Å
α = 90.00°, β = 90.00°, γ = 90.00°
Space group I4/mmm (No. 139)
Asymmetric unit:
1 Sr 0.0000 0.0000 0.1032
2 Li 0.0000 0.5000 0.2500
3 Mg 0.0000 0.0000 0.5000

Output
The formation energy is 48.7 meV/atom. The value obtained for the distance to the lowest polymorph of the same formula is 0.0214 eV/atom.

***

A plane-wave DFT calculation with PBEsol was carried out for a relaxed ReTcW2 crystal.

a = 3.1228 Å, b = 4.4011 Å, c = 8.7679 Å
α = 90.00°, β = 90.00°, γ = 90.00°
Space group Cmm2 (No. 35)
Asymmetric unit:
1 Re 0.0000 0.0000 0.0000
2 Tc 0.0000 0.5000 0.2456
3 W 0.0000 0.0000 0.4933
4 W 0.0000 0.5000 0.7489

Output
The formation energy is 148.4 meV/atom. The value obtained for the distance to the lowest polymorph of the same formula is 0.0631 eV/atom.

***

A plane-wave DFT calculation with PBEsol was carried out for a relaxed MnAl2Se crystal.

a = 2.8750 Å, b = 2.8750 Å, c = 7.3478 Å
α = 90.00°, β = 90.00°, γ = 90.00°
Space group P4mm (No. 99)
Asymmetric unit:
1 Mn 0.0000 0.0000 0.0000
2 Al 0.0000 0.0000 0.5098
3 Al 0.5000 0.5000 0.7803
4 Se 0.5000 0.5000 0.1711

Output
The calculation puts the formation energy from raw total energies at -0.077 eV per atom.

***

A plane-wave DFT calculation with PBEsol was carried out for a relaxed ScAu2 crystal.

a = 3.5063 Å, b = 3.5063 Å, c = 8.6767 Å
α = 90.00°, β = 90.00°, γ = 90.00°
Space group I4/mmm (No. 139)
Asymmetric unit:
1 Sc 0.0000 0.0000 0.0000
2 Au 0.0000 0.0000 0.3363

Output
The formation energy is -849.8 meV/atom.

***

A plane-wave DFT calculation with PBEsol was carried out for a relaxed Cr2PtW crystal.

a = 3.8130 Å, b = 3.8130 Å, c = 3.6595 Å
α = 90.00°, β = 90.00°, γ = 90.00°
Space group P4/mmm (No. 123)
Asymmetric unit:
1 Cr 0.0000 0.5000 0.0000
2 Pt 0.0000 0.0000 0.5000
3 W 0.5000 0.5000 0.5000

Output
The formation energy is 18.8 meV/atom. The value obtained for the distance to the lowest polymorph of the same formula is 0.0000 eV/atom.

***

A plane-wave DFT calculation with PBEsol was carried out for a relaxed KRuRh crystal.

a = 4.7683 Å, b = 4.7683 Å, c = 2.5976 Å
α = 90.00°, β = 90.00°, γ = 120.00°
Space group P-6m2 (No. 187)
Asymmetric unit:
1 K 0.0000 0.0000 0.0000
2 Ru 0.6667 0.3333 0.5000
3 Rh 0.3333 0.6667 0.5000

Output
The formation energy is 1240.5 meV/atom.

***

A plane-wave DFT calculation with PBEsol was carried out for a relaxed Tl2SiRu crystal.

a = 4.2708 Å, b = 4.4398 Å, c = 8.2452 Å
α = 90.00°, β = 90.00°, γ = 90.00°
Space group Cmmm (No. 65)
Asymmetric unit:
1 Tl 0.0000 0.0000 0.2202
2 Si 0.0000 0.5000 0.5000
3 Ru 0.0000 0.5000 0.0000

Output
The value obtained for the distance to the lowest polymorph of the same formula is 0.0000 eV/atom. The calculation puts the formation energy from raw total energies at 0.704 eV per atom.

***

A plane-wave DFT calculation with PBEsol was carried out for a relaxed Ni3Ir crystal.

a = 8.3507 Å, b = 2.5714 Å, c = 4.3364 Å
α = 90.00°, β = 100.72°, γ = 90.00°
Space group C2/m (No. 12)
Asymmetric unit:
1 Ni 0.0000 0.0000 0.0000
2 Ni 0.2495 0.5000 0.2473
3 Ir 0.0000 0.5000 0.5000

Output
The formation energy is 19.1 meV/atom.

***

A plane-wave DFT calculation with PBEsol was carried out for a relaxed ZnCdAu3 crystal.

a = 5.0523 Å, b = 5.0523 Å, c = 5.0523 Å
α = 90.00°, β = 90.00°, γ = 90.00°
Space group Pm-3m (No. 221)
Asymmetric unit:
1 Zn 0.0000 0.0000 0.0000
2 Cd 0.5000 0.5000 0.5000
3 Au 0.0000 0.5000 0.5000

Output
The formation energy is 899.4 meV/atom.

***

A plane-wave DFT calculation with PBEsol was carried out for a relaxed BeNbPO2 crystal.

a = 3.4812 Å, b = 3.4812 Å, c = 4.4037 Å
α = 90.00°, β = 90.00°, γ = 90.00°
Space group P4/mmm (No. 123)
Asymmetric unit:
1 Be 0.0000 0.0000 0.0000
2 Nb 0.5000 0.5000 0.5000
3 P 0.0000 0.0000 0.5000
4 O 0.0000 0.5000 0.0000

Output
The calculation puts the formation energy from raw total energies at -0.667 eV per atom.

***

A plane-wave DFT calculation with PBEsol was carried out for a relaxed Sr3CdPt crystal.

a = 5.7759 Å, b = 5.7759 Å, c = 5.7759 Å
α = 90.00°, β = 90.00°, γ = 90.00°
Space group Pm-3m (No. 221)
Asymmetric unit:
1 Sr 0.0000 0.0000 0.5000
2 Cd 0.5000 0.5000 0.5000
3 Pt 0.0000 0.0000 0.0000

Output
The formation energy is -364.4 meV/atom.

***

A plane-wave DFT calculation with PBEsol was carried out for a relaxed CuP3Pt crystal.

a = 4.3350 Å, b = 4.3350 Å, c = 4.3350 Å
α = 90.00°, β = 90.00°, γ = 90.00°
Space group Pm-3m (No. 221)
Asymmetric unit:
1 Cu 0.0000 0.0000 0.0000
2 P 0.0000 0.0000 0.5000
3 Pt 0.5000 0.5000 0.5000

Output
The formation energy is 930.1 meV/atom.

***

A plane-wave DFT calculation with PBEsol was carried out for a relaxed S5I2O18 crystal.

a = 29.1544 Å, b = 5.8117 Å, c = 9.1292 Å
α = 90.00°, β = 103.69°, γ = 90.00°
Space group C2/c (No. 15)
Asymmetric unit:
1 S 0.0000 0.1758 0.2500
2 S 0.0824 0.1028 0.7784
3 S 0.2074 0.4550 0.8269
4 I 0.1428 0.2981 0.5126
5 O 0.0299 0.2919 0.3733
6 O 0.0306 0.0014 0.6765
7 O 0.0754 0.1822 0.9195
8 O 0.0900 0.2813 0.6731
9 O 0.1147 0.0946 0.2855
10 O 0.1733 0.4712 0.1682
11 O 0.1890 0.2522 0.8806
12 O 0.1988 0.3243 0.4214
13 O 0.2447 0.0250 0.1822

Output
The calculation puts the formation energy from raw total energies at -0.989 eV per atom.

***

Calculated calculated density (g cm⁻³), listed in the same order as above: 21.6; 2.1; 7.8; 7.0; 5.5; 5.1; 7.2; 2.1; 18.0; 5.1; 13.7; 15.1; 7.9; 11.4; 13.4; 9.9; 5.1; 4.9; 7.2; 3.1